## Hf2C (PBE)

Data for crystalline Hf2C at its relaxed geometry.

The value obtained for the electronic total energy is -31.13 eV per formula unit.

The space group is R-3m (No. 166, hexagonal axes) and the conventional cell measures 3.2852, 3.2852 and 15.7452 Å, with angles of 90.00, 90.00 and 120.00 degrees. The distinct sites, in fractional coordinates, are Hf at (0.0000, 0.0000, 0.2458) and C at (0.0000, 0.0000, 0.5000).

## HfC2 (PBE)

Data for crystalline HfC2 at its relaxed geometry.

Its relative energy among the computed polymorphs is 451 meV/atom. The value obtained for the electronic total energy is -21.11 eV per formula unit.

The space group is Fd-3m (No. 227, origin choice 2) and the conventional cell measures 9.781, 9.781 and 9.781 Å, with angles of 90.00, 90.00 and 90.00 degrees. The distinct sites, in fractional coordinates, are Hf at (0.125, 0.125, 0.125) and C at (0.000, 0.000, 0.000).

## Hf5C (PBE)

Data for crystalline Hf5C at its relaxed geometry.

Its relative energy among the computed polymorphs is 1241 meV/atom. The value obtained for the electronic total energy is -48.58 eV per formula unit.

The space group is P6/mmm (No. 191) and the conventional cell measures 5.6422, 5.6422 and 5.1208 Å, with angles of 90.00, 90.00 and 120.00 degrees. The distinct sites, in fractional coordinates, are Hf at (0.0000, 0.5000, 0.0000), Hf at (0.3333, 0.6667, 0.5000) and C at (0.0000, 0.0000, 0.5000).

## Hf2HgC (PBE)

Data for crystalline Hf2HgC at its relaxed geometry.

The value obtained for the electronic total energy is -31.99 eV per formula unit.

The space group is C2/m (No. 12) and the conventional cell measures 5.717, 3.313 and 7.630 Å, with angles of 90.00, 104.98 and 90.00 degrees. The distinct sites, in fractional coordinates, are Hf at (0.225, 0.000, 0.167), Hg at (0.000, 0.000, 0.500) and C at (0.000, 0.500, 0.000).

Question: Among the records above, which one has the highest electronic total energy?
Answer: HfC2

Question: Which value of electronic total energy does entry 1 give?
Answer: -31.13 eV per formula unit